1.
Computed, not measured: a relaxed structure of AlSiPN4 at the GGA-PBE level of DFT.

Structure (extended XYZ):
```
14
Lattice="-3.8030 -2.7025 0.8942 -0.0439 -0.8491 -2.7530 6.6774 -8.0323 2.3708" Properties=species:S:1:pos:R:3 pbc="T T T"
P 3.0466 -7.0492 0.6177
P -0.2701 -2.6085 0.8089
N -1.6607 -3.2863 1.0401
N 2.9147 -5.4263 0.1193
N 0.6298 -3.4188 -0.4634
N 1.6560 -7.7270 0.8490
N -0.4020 -0.9856 0.3104
N 3.9905 -7.0104 2.0985
N 0.4598 -5.2778 1.6205
N 3.7766 -9.7185 1.4294
Si 1.0916 -5.1310 0.0573
Si 4.4523 -8.7226 2.6192
Al 0.4668 -7.1053 2.1841
Al -2.8938 -3.5137 -0.3779
```

Properties
**DOS(E_F)**: 0.00 states/eV/cell
**Raw formation energy**: -734 meV per atom
**SG**: No. 8
**Excess energy over the best structure of this formula in the dataset**: 1.07 kcal/mol of atoms

***

2.
Computed, not measured: a relaxed structure of PuMgP2 at the GGA-PBE level of DFT.

Structure (extended XYZ):
```
4
Lattice="-3.4248 -1.1073 -1.7778 0.0385 -2.8381 -2.8390 -1.9354 -5.4677 2.6014" Properties=species:S:1:pos:R:3 pbc="T T T"
P -1.3336 -2.3694 -0.4878
P -3.9882 -7.0438 -1.5276
Mg 0.0000 0.0000 0.0000
Pu -2.6609 -4.7066 -1.0077
```

Properties
**DOS(E_F)**: 9.42 states/eV/cell
**SG**: No. 166
**Excess energy over the best structure of this formula in the dataset**: 0.00 kcal/mol of atoms

***

3.
Computed, not measured: a relaxed structure of Rb2TlIrO4 at the GGA-PBE level of DFT.

Structure (extended XYZ):
```
8
Lattice="-5.1684 2.9988 -0.3398 1.2882 -3.0018 -5.0151 -0.0782 -4.3192 4.1423" Properties=species:S:1:pos:R:3 pbc="T T T"
O 0.3111 -3.9177 1.4012
O -4.2728 -0.3844 -2.6113
O -2.7311 -0.4085 -0.4477
O -1.2240 -3.9338 -0.7672
Ir 0.6050 -3.6605 -0.4364
Rb -1.6376 -1.8317 -2.8956
Rb 0.0000 0.0000 0.0000
Tl -2.3208 -2.4905 1.6831
```

Properties
**DOS(E_F)**: 4.29 states/eV/cell
**Raw formation energy**: -994 meV per atom
**SG**: No. 82

***

4.
Computed, not measured: a relaxed structure of Nd6Ho4Tm at the GGA-PBE level of DFT.

Structure (extended XYZ):
```
11
Lattice="6.7582 0.0000 0.0000 0.0000 6.7582 0.0000 -3.3791 -3.3791 8.3113" Properties=species:S:1:pos:R:3 pbc="T T T"
Nd 1.2912 1.2912 5.3619
Nd 2.0879 4.6703 2.9494
Nd 0.0000 3.3791 0.0000
Nd 3.3791 0.0000 0.0000
Nd -1.2912 -1.2912 5.3619
Nd 4.6703 2.0879 2.9494
Ho 5.5646 5.5646 1.9532
Ho -2.1855 2.1855 6.3581
Ho 2.1855 -2.1855 6.3581
Ho 1.1936 1.1936 1.9532
Tm 3.3791 3.3791 0.0000
```

Properties
**Final energy**: -4.37 eV per atom
**DOS(E_F)**: 16.27 states/eV/cell
**SG**: No. 121

***

5.
Computed, not measured: a relaxed structure of NiMo2Pd6 at the GGA-PBE level of DFT.

Structure (extended XYZ):
```
9
Lattice="3.6912 0.0000 1.2291 1.8459 5.9157 0.6135 -0.0031 0.0010 6.1664" Properties=species:S:1:pos:R:3 pbc="T T T"
Pd 2.7671 4.8538 4.0043
Pd 4.0015 4.8580 6.4541
Pd 4.0014 1.0594 6.4545
Pd 1.5326 4.8572 1.5545
Pd 1.5325 1.0587 1.5549
Pd 2.7669 1.0629 4.0047
Mo 2.1455 2.9586 5.8711
Mo 3.3885 2.9580 2.1379
Ni 0.9214 2.9583 3.3899
```

Properties
**DOS(E_F)**: 12.17 states/eV/cell
**SG**: No. 69
**Excess energy over the best structure of this formula in the dataset**: 0.00 kcal/mol of atoms

***

6.
Computed, not measured: a relaxed structure of CaDy2Mg6 at the GGA-PBE level of DFT.

Structure (extended XYZ):
```
9
Lattice="3.3716 -0.0003 0.0007 0.0003 7.8809 4.5326 -0.0012 0.0165 9.0914" Properties=species:S:1:pos:R:3 pbc="T T T"
Mg 1.6804 7.8917 10.5590
Mg 1.6798 5.2401 12.0960
Mg 1.6851 2.6682 7.5546
Mg 1.6856 5.2290 6.0702
Mg 1.6909 2.6571 1.5287
Mg 1.6904 0.0055 3.0658
Dy 3.3710 5.2648 9.0835
Dy -0.0002 2.6324 4.5412
Ca 0.0000 0.0000 0.0000
```

Properties
**Final energy**: -2.36 eV per atom
**DOS(E_F)**: 8.46 states/eV/cell
**SG**: No. 191

***

DOS(E_F) of number 2 (PuMgP2)? 9.42 states/eV/cell